[1]
NpNi2Ge PBE relaxed; space-group type = No. 11; density = 11.1 g/cm3; spin magnetization = 3.4 μB per formula unit; uncorrected energy = -59.84 eV for the cell shown; DFT formation energy = -200.0 meV per atom
1.0
4.966 0.000 0.000
0.000 4.172 0.000
-0.912 0.000 6.154
Np Ni Ge
2 4 2
direct
0.157 0.250 0.222
0.843 0.750 0.778
0.347 0.750 0.520
0.366 0.750 0.942
0.634 0.250 0.058
0.653 0.250 0.480
0.285 0.250 0.724
0.715 0.750 0.276

[2]
PuSc2Al PBE relaxed; space-group type = No. 225; density = 6.7 g/cm3; spin magnetization = 6.9 μB per formula unit; uncorrected energy = -30.93 eV for the cell shown; DFT formation energy = -49.0 meV per atom
1.0
0.000 3.549 3.549
3.549 0.000 3.549
3.549 3.549 0.000
Pu Sc Al
1 2 1
direct
0.000 0.000 0.000
0.250 0.250 0.250
0.750 0.750 0.750
0.500 0.500 0.500

[3]
RbCa2HoCl8 PBE relaxed; space-group type = No. 10; formation energy from raw total energies = -2.259 eV per atom; density = 2.7 g/cm3; spin magnetization = 0.0 μB per formula unit; uncorrected energy = -51.43 eV for the cell shown
1.0
6.433 0.000 0.000
0.000 8.780 0.000
-0.091 0.000 6.647
Rb Ca Ho Cl
1 2 1 8
direct
0.000 0.000 0.000
0.500 0.248 0.500
0.500 0.752 0.500
0.000 0.500 0.000
0.233 0.292 0.175
0.233 0.708 0.175
0.267 0.500 0.684
0.283 0.000 0.626
0.717 0.000 0.374
0.733 0.500 0.316
0.767 0.292 0.825
0.767 0.708 0.825

[4]
Er2ScPd PBE relaxed; space-group type = No. 25; density = 8.3 g/cm3; spin magnetization = 0.0 μB per formula unit; uncorrected energy = -22.28 eV for the cell shown; DFT formation energy = -408.2 meV per atom
1.0
3.464 0.000 0.000
0.000 3.476 0.000
0.000 0.000 8.092
Er Sc Pd
2 1 1
direct
0.000 0.000 0.000
0.500 0.500 0.313
0.000 0.000 0.600
0.500 0.500 0.784